# 1
The following is a GGA-PBE calculation of crystalline ZrAlBr2 at its relaxed geometry, from Alexandria via LeMat-Bulk.

## Properties
**Space-group type**: Pm, No. 6
**Calculated volume**: 28.184 Å³/atom
**Raw formation energy**: -622 meV per atom
**Theoretical density**: 4.1 g cm⁻³
**D(E_F)**: 0.4585 states/eV per atom
**Spin magnetization**: 0.0 μB per formula unit

Cell lengths 3.542, 3.714, 8.617 Å; angles 84.01, 90.00, 90.00 degrees
Fractional positions:
Br 0.000 0.038 0.904
Br 0.500 0.405 0.322
Zr 0.000 0.289 0.562
Al 0.500 0.767 0.712



# 2
The following is a GGA-PBE calculation of crystalline Ca2AgW at its relaxed geometry, from Alexandria via LeMat-Bulk.

## Properties
**Energy relative to the elements**: 18.2 kcal/mol of atoms
**Space-group type**: Fm-3m, No. 225
**Calculated volume**: 24.771 Å³/atom
**Theoretical density**: 6.2 g cm⁻³
**D(E_F)**: 0.6938 states/eV per atom
**Spin magnetization**: 3.1 μB per formula unit

Cell lengths 5.194, 5.194, 5.194 Å; angles 60.00, 60.00, 60.00 degrees
Fractional positions:
Ca 0.250 0.250 0.250
Ca 0.750 0.750 0.750
Ag 0.000 0.000 0.000
W 0.500 0.500 0.500



What ΔE to the lowest computed polymorph values result from the calculations? In sequence: 0.0951 0.2753 eV/atom.